The following is a DFT calculation (PBE) of an optimized crystal structure of PmYScTl.

a b c (Å): 4.778 4.773 4.851
angles (deg): 90.00 90.00 90.00
Each line ends with the local moment (μB).
Element x y z (fractional)
Tl 0.500 0.500 0.000  -0.01
Y 0.000 0.000 0.000  0.14
Pm 0.000 0.500 0.500  0.13
Sc 0.500 0.000 0.500  0.23

Calculated values
D(E_F) = 5.32 states/eV/f.u.
magnetization = 0.79 μB/f.u.
formation energy from the elements = -180 meV/atom
symmetry = Pmmm, No. 47
mass density = 7.3 g/cm³
E_tot = -5.16 eV/atom
energy above the most stable polymorph in this dataset = 0.00 kJ/mol of atoms